*w*
An optimized crystal structure of TcSbOF2. Source: the Alexandria database, functional PBE.

The structure belongs to space group P4/mmm (No. 123); the cell edges are 4.5284, 4.5284 and 4.2688 Å and the angles 90.00°, 90.00° and 90.00°. The inequivalent atoms are Tc at (0.0000, 0.0000, 0.0000), Sb at (0.5000, 0.5000, 0.5000), O at (0.5000, 0.5000, 0.0000) and F at (0.0000, 0.5000, 0.5000).



*x*
An optimized crystal structure of TcSbOF2. Source: the Alexandria database, functional PBE.

The structure belongs to space group P4/mmm (No. 123); the cell edges are 4.4802, 4.4802 and 3.7260 Å and the angles 90.00°, 90.00° and 90.00°. The inequivalent atoms are Tc at (0.0000, 0.0000, 0.0000), Sb at (0.5000, 0.5000, 0.5000), O at (0.0000, 0.0000, 0.5000) and F at (0.0000, 0.5000, 0.0000).



Which structure loses on stability? *w* does.



*w*
An optimized crystal structure of Sb2TeOF. Source: the Alexandria database, functional PBE.

The structure belongs to space group P4/mmm (No. 123); the cell edges are 4.7673, 4.7673 and 4.7313 Å and the angles 90.00°, 90.00° and 90.00°. The inequivalent atoms are Sb at (0.0000, 0.5000, 0.0000), Te at (0.0000, 0.0000, 0.5000), O at (0.0000, 0.0000, 0.0000) and F at (0.5000, 0.5000, 0.5000).



*x*
An optimized crystal structure of Sb2TeOF. Source: the Alexandria database, functional PBE.

The structure belongs to space group P4/mmm (No. 123); the cell edges are 5.8746, 5.8746 and 3.9096 Å and the angles 90.00°, 90.00° and 90.00°. The inequivalent atoms are Sb at (0.0000, 0.5000, 0.0000), Te at (0.0000, 0.0000, 0.0000), O at (0.0000, 0.0000, 0.5000) and F at (0.5000, 0.5000, 0.5000).



Which structure loses on stability? *x* does.